Entry 1:
The following is a DFT calculation (GGA-PBE) of a relaxed ErZrSc4 crystal.

For the density, the calculation gives 4.8 g cm⁻³. Its offset from the most stable computed form is 0.0 kJ/mol of atoms. The spin magnetization comes out at 0.000 μB/f.u. The space group is Amm2, No. 38.

Cell: 3.3269 5.1880 8.8863 Å, 90.01 100.79 90.00°
Positions (direct):
Sc 0.7308 0.5028 0.7071
Sc 0.0514 0.5026 0.3490
Sc 0.9443 0.0027 0.1335
Sc 0.2844 0.0028 0.8149
Er 0.6148 0.0026 0.4755
Zr 0.3932 0.5028 0.0311

Entry 2:
The following is a DFT calculation (GGA-PBE) of a relaxed CoTc crystal.

For the density, the calculation gives 9.8 g cm⁻³. Its offset from the most stable computed form is 34.4 kJ/mol of atoms. The spin magnetization comes out at 0.246 μB/f.u. The space group is P4/mnc, No. 128.

Cell: 7.0954 7.0954 4.2325 Å, 90.00 90.00 90.00°
Site moments in Bohr magnetons follow the coordinates.
Positions (direct):
Co 0.0913 0.2465 0.0000  0.25
Co 0.2535 0.4087 0.5000  0.25
Co 0.7465 0.5913 0.5000  0.25
Co 0.4087 0.7465 0.5000  0.25
Co 0.7535 0.0913 0.0000  0.25
Co 0.9087 0.7535 0.0000  0.25
Co 0.2465 0.9087 0.0000  0.25
Co 0.5913 0.2535 0.5000  0.25
Tc 0.7427 0.9280 0.5000  0.00
Tc 0.0720 0.7427 0.5000  0.00
Tc 0.5720 0.7573 0.0000  0.00
Tc 0.9280 0.2573 0.5000  0.00
Tc 0.4280 0.2427 0.0000  0.00
Tc 0.2427 0.5720 0.0000  0.00
Tc 0.7573 0.4280 0.0000  0.00
Tc 0.2573 0.0720 0.5000  0.00